(1)
PBE-GGA TcAg3, relaxed; energy above the lowest structure with this stoichiometry = 2.4 kJ/mol of atoms
1.0
2.812 0.000 0.000
-1.406 2.435 0.000
0.000 0.000 9.825
Tc Ag
1 3
Direct
0.000 0.000 0.000 Tc
0.000 0.000 0.500 Ag
0.667 0.333 0.244 Ag
0.667 0.333 0.756 Ag

(2)
PBE-GGA BaLiPm, relaxed; energy above the lowest structure with this stoichiometry = 5.7 kJ/mol of atoms
1.0
17.761 0.000 0.000
0.000 1.934 3.342
0.000 -1.934 3.342
Ba Li Pm
2 2 2
Direct
0.173 0.000 0.000 Ba
0.827 0.000 0.000 Ba
0.000 0.663 0.663 Li
0.500 0.000 0.000 Li
0.359 0.666 0.666 Pm
0.641 0.666 0.666 Pm

(3)
PBE-GGA Ta2CuBr, relaxed; energy above the lowest structure with this stoichiometry = 73.6 kJ/mol of atoms; formation energy without anion corrections = 1030 meV per atom
1.0
0.000 3.293 3.293
3.293 0.000 3.293
3.293 3.293 0.000
Ta Cu Br
2 1 1
Direct
0.000 0.000 0.000 Ta
0.250 0.250 0.250 Ta
0.750 0.750 0.750 Cu
0.500 0.500 0.500 Br

(4)
PBE-GGA Zn2RuSe, relaxed; formation energy without anion corrections = -56 meV per atom
1.0
-1.478 2.090 5.746
1.478 -2.090 5.746
1.478 2.090 -5.746
Zn Ru Se
2 1 1
Direct
0.000 0.000 0.000 Zn
0.655 0.155 0.500 Zn
0.192 0.692 0.500 Ru
0.363 0.363 0.000 Se

(5)
PBE-GGA Ag3AsPt, relaxed; energy above the lowest structure with this stoichiometry = 0.0 kJ/mol of atoms
1.0
4.800 0.000 0.000
0.000 4.800 0.000
0.000 0.000 4.800
Ag As Pt
3 1 1
Direct
0.000 0.000 0.500 Ag
0.000 0.500 0.000 Ag
0.500 0.000 0.000 Ag
0.000 0.000 0.000 As
0.500 0.500 0.500 Pt

(6)
PBE-GGA TbCeTh, relaxed; energy above the lowest structure with this stoichiometry = 0.0 kJ/mol of atoms
1.0
3.524 0.000 0.000
-1.762 3.052 0.000
0.000 0.000 8.613
Tb Ce Th
1 1 1
Direct
0.000 0.000 0.000 Tb
0.333 0.667 0.658 Ce
0.667 0.333 0.338 Th

(7)
PBE-GGA BeTePb2, relaxed; energy above the lowest structure with this stoichiometry = 39.4 kJ/mol of atoms; formation energy without anion corrections = 562 meV per atom
1.0
0.000 3.779 3.779
3.779 0.000 3.779
3.779 3.779 0.000
Be Te Pb
1 1 2
Direct
0.000 0.000 0.000 Be
0.250 0.250 0.250 Te
0.500 0.500 0.500 Pb
0.750 0.750 0.750 Pb

(8)
PBE-GGA Zr2Br, relaxed; energy above the lowest structure with this stoichiometry = 62.7 kJ/mol of atoms; formation energy without anion corrections = 311 meV per atom
1.0
5.789 0.000 0.000
-2.894 5.013 0.000
0.000 0.000 11.147
Zr Br
8 4
Direct
0.000 0.000 0.000 Zr
0.000 0.000 0.500 Zr
0.162 0.325 0.250 Zr
0.162 0.838 0.250 Zr
0.325 0.162 0.750 Zr
0.675 0.838 0.250 Zr
0.838 0.162 0.750 Zr
0.838 0.675 0.750 Zr
0.333 0.667 0.041 Br
0.333 0.667 0.459 Br
0.667 0.333 0.541 Br
0.667 0.333 0.959 Br